# 1
Entry from Alexandria: TcRh4 after structural relaxation (PBEsol).

Space-group type = No. 87
Total energy = -8.831 eV per atom
DOS at the Fermi energy = 1.11 states/eV/atom

a b c (Å): 3.7733 4.6308 4.6308
angles (deg): 80.45 65.96 65.96
Sites, in units of the cell vectors:
Rh 0.3964 0.8074 0.3998
Rh 0.2038 0.3998 0.1926
Rh 0.6036 0.1926 0.6002
Rh 0.7962 0.6002 0.8074
Tc 0.0000 0.0000 0.0000

# 2
Entry from Alexandria: RbTlAs2 after structural relaxation (PBEsol).

Space-group type = No. 225
Total energy = -3.133 eV per atom
DOS at the Fermi energy = 0.79 states/eV/atom

a b c (Å): 5.2619 5.2619 5.2619
angles (deg): 60.00 60.00 60.00
Sites, in units of the cell vectors:
Rb 0.0000 0.0000 0.0000
Tl 0.5000 0.5000 0.5000
As 0.7500 0.7500 0.7500
As 0.2500 0.2500 0.2500

# 3
Entry from Alexandria: KPbI3 after structural relaxation (PBEsol).

Space-group type = No. 62
Total energy = -3.031 eV per atom
DOS at the Fermi energy = 0.00 states/eV/atom

a b c (Å): 4.6292 10.0503 17.2355
angles (deg): 90.00 90.00 90.00
Sites, in units of the cell vectors:
I 0.2500 0.6524 0.0334
I 0.2500 0.3334 0.2076
I 0.2500 0.8334 0.2924
I 0.2500 0.0117 0.8863
I 0.7500 0.6666 0.7924
I 0.7500 0.9883 0.1137
I 0.7500 0.3476 0.9666
I 0.7500 0.1666 0.7076
I 0.2500 0.5117 0.6137
I 0.2500 0.1524 0.4666
I 0.7500 0.8476 0.5334
I 0.7500 0.4883 0.3863
Pb 0.7500 0.3163 0.5500
Pb 0.2500 0.1837 0.0500
Pb 0.7500 0.8163 0.9500
Pb 0.2500 0.6837 0.4500
K 0.7500 0.1155 0.3082
K 0.2500 0.3845 0.8082
K 0.2500 0.8845 0.6918
K 0.7500 0.6155 0.1918